# 1
The following is a PBE calculation of a geometry-optimized Na2NbCl structure, from the Alexandria database.

**Distance to the lowest polymorph of the same formula**: 0 meV per atom
**SG**: I-42d
**N(E_F)**: 1.10 states/eV/atom
**Uncorrected energy**: -3.16 eV per atom
**M_tot**: 0.0 Bohr magnetons per cell

Cell: 8.823 8.823 6.703 Å, 48.84 48.84 90.00°
Atoms (fractional coordinates):
Cl: 0.500 0.500 0.000
Cl: 0.250 0.750 0.500
Na: 0.546 0.125 0.250
Na: 0.875 0.796 0.750
Na: 0.204 0.625 0.250
Na: 0.375 0.454 0.750
Nb: 0.750 0.250 0.500
Nb: 0.000 0.000 0.000

***

# 2
The following is a PBE calculation of a geometry-optimized NaNb2Cl8 structure, from the Alexandria database.

**SG**: C2/m
**N(E_F)**: 1.19 states/eV/atom
**Uncorrected energy**: -4.46 eV per atom
**M_tot**: 3.0 Bohr magnetons per cell

Cell: 6.766 8.181 8.181 Å, 73.83 83.71 83.71°
Each line ends with the local moment (μB).
Atoms (fractional coordinates):
Cl: 0.784 0.703 0.066  0.01
Cl: 0.791 0.623 0.623  0.01
Cl: 0.687 0.179 0.179  0.01
Cl: 0.216 0.934 0.297  0.01
Cl: 0.784 0.066 0.703  0.01
Cl: 0.313 0.821 0.821  0.01
Cl: 0.216 0.297 0.934  0.01
Cl: 0.209 0.377 0.377  0.01
Nb: 0.662 0.795 0.795  1.22
Nb: 0.338 0.205 0.205  1.22
Na: 0.000 0.000 0.000  0.00

***

# 3
The following is a PBE calculation of a geometry-optimized NaNbCl4 structure, from the Alexandria database.

**SG**: P-1
**N(E_F)**: 0.06 states/eV/atom
**Uncorrected energy**: -4.52 eV per atom
**M_tot**: 0.0 Bohr magnetons per cell

Cell: 6.110 7.224 8.590 Å, 60.06 86.80 83.15°
Atoms (fractional coordinates):
Cl: 0.885 0.965 0.256
Cl: 0.602 0.260 0.550
Cl: 0.663 0.678 0.102
Cl: 0.398 0.740 0.450
Cl: 0.337 0.322 0.898
Cl: 0.128 0.445 0.300
Cl: 0.115 0.035 0.744
Cl: 0.872 0.555 0.700
Nb: 0.191 0.412 0.594
Nb: 0.809 0.588 0.406
Na: 0.264 0.887 0.095
Na: 0.736 0.113 0.905

***

# 4
The following is a PBE calculation of a geometry-optimized NaNbCl2 structure, from the Alexandria database.

**Distance to the lowest polymorph of the same formula**: 0 meV per atom
**SG**: R-3m
**N(E_F)**: 0.44 states/eV/atom
**Uncorrected energy**: -4.45 eV per atom
**M_tot**: 0.0 Bohr magnetons per cell

Cell: 10.452 10.452 10.452 Å, 17.93 17.93 17.93°
Atoms (fractional coordinates):
Cl: 0.110 0.110 0.110
Cl: 0.890 0.890 0.890
Na: 0.000 0.000 0.000
Nb: 0.500 0.500 0.500

***

# 5
The following is a PBE calculation of a geometry-optimized NaNbCl2 structure, from the Alexandria database.

**Distance to the lowest polymorph of the same formula**: 301 meV per atom
**SG**: I-42d
**N(E_F)**: 0.35 states/eV/atom
**Uncorrected energy**: -4.15 eV per atom
**M_tot**: 7.9 Bohr magnetons per cell

Cell: 7.296 7.296 6.339 Å, 54.87 54.87 90.00°
Each line ends with the local moment (μB).
Atoms (fractional coordinates):
Cl: 0.875 0.898 0.750  0.03
Cl: 0.648 0.125 0.250  0.02
Cl: 0.375 0.352 0.750  0.02
Cl: 0.102 0.625 0.250  0.02
Nb: 0.000 0.000 0.000  2.83
Nb: 0.750 0.250 0.500  2.82
Na: 0.500 0.500 0.000  0.02
Na: 0.250 0.750 0.500  0.02

***

# 6
The following is a PBE calculation of a geometry-optimized NaNbPCl2 structure, from the Alexandria database.

**Distance to the lowest polymorph of the same formula**: 1196 meV per atom
**SG**: P4/mmm
**N(E_F)**: 1.01 states/eV/atom
**Uncorrected energy**: -3.58 eV per atom
**M_tot**: 1.0 Bohr magnetons per cell

Cell: 4.664 4.664 5.400 Å, 90.00 90.00 90.00°
Each line ends with the local moment (μB).
Atoms (fractional coordinates):
Na: 0.000 0.000 0.000  -0.01
Cl: 0.000 0.500 0.000  -0.12
Cl: 0.500 0.000 0.000  -0.12
Nb: 0.500 0.500 0.500  2.25
P: 0.000 0.000 0.500  -0.63

***

Quick rundown of raw formation energy, same order as above: 0.48, -1.17, -1.39, -0.68, -0.38, 0.52 eV/atom